The following is a DFT calculation (GGA-PBE) of a geometry-optimized BPd2Cl structure.

E_form (uncorrected) = 0.08 eV/atom
relative energy among the computed polymorphs = 0.0 meV per atom
N(E_F) = 0.000 states/eV per atom
volume = 17.975 Å³ per atom
calculated density = 5.98 g cm⁻³
uncorrected energy = -4.6433 eV/atom

a b c (Å): 6.279 6.279 6.279
angles (deg): 129.48 129.48 74.25
Fractional positions:
B (0.000, 0.000, 0.000)
B (0.750, 0.250, 0.500)
Pd (0.038, 0.625, 0.913)
Pd (0.375, 0.288, 0.413)
Pd (0.712, 0.125, 0.087)
Pd (0.875, 0.962, 0.587)
Cl (0.250, 0.750, 0.500)
Cl (0.500, 0.500, 0.000)

The following is a DFT calculation (GGA-PBE) of a geometry-optimized PmB2Cl8 structure.

E_form (uncorrected) = -1.14 eV/atom
N(E_F) = 0.013 states/eV per atom
volume = 32.138 Å³ per atom
calculated density = 2.11 g cm⁻³
uncorrected energy = -4.1301 eV/atom

a b c (Å): 7.874 7.874 5.998
angles (deg): 98.29 98.29 75.20
Fractional positions:
Pm (0.000, 0.000, 0.000)
B (0.201, 0.201, 0.659)
B (0.799, 0.799, 0.341)
Cl (0.032, 0.718, 0.259)
Cl (0.192, 0.192, 0.335)
Cl (0.282, 0.968, 0.741)
Cl (0.342, 0.342, 0.791)
Cl (0.658, 0.658, 0.209)
Cl (0.718, 0.032, 0.259)
Cl (0.808, 0.808, 0.665)
Cl (0.968, 0.282, 0.741)

The following is a DFT calculation (GGA-PBE) of a geometry-optimized Pm4BCl4 structure.

E_form (uncorrected) = -1.49 eV/atom
N(E_F) = 0.513 states/eV per atom
volume = 25.586 Å³ per atom
calculated density = 5.28 g cm⁻³
uncorrected energy = -5.1592 eV/atom

a b c (Å): 6.888 6.888 10.344
angles (deg): 120.17 120.17 33.44
Fractional positions:
Pm (0.092, 0.092, 0.423)
Pm (0.315, 0.315, 0.232)
Pm (0.685, 0.685, 0.768)
Pm (0.908, 0.908, 0.577)
B (0.500, 0.500, 0.500)
Cl (0.105, 0.105, 0.893)
Cl (0.320, 0.320, 0.724)
Cl (0.680, 0.680, 0.276)
Cl (0.895, 0.895, 0.107)

The following is a DFT calculation (GGA-PBE) of a geometry-optimized Pm7BCl12 structure.

E_form (uncorrected) = -1.91 eV/atom
N(E_F) = 0.585 states/eV per atom
volume = 29.099 Å³ per atom
calculated density = 4.14 g cm⁻³
uncorrected energy = -5.0132 eV/atom

a b c (Å): 8.915 8.915 8.915
angles (deg): 107.49 107.49 107.49
Fractional positions:
Pm (0.000, 0.000, 0.000)
Pm (0.180, 0.389, 0.469)
Pm (0.389, 0.469, 0.180)
Pm (0.469, 0.180, 0.389)
Pm (0.531, 0.820, 0.611)
Pm (0.611, 0.531, 0.820)
Pm (0.820, 0.611, 0.531)
B (0.500, 0.500, 0.500)
Cl (0.030, 0.339, 0.115)
Cl (0.115, 0.030, 0.339)
Cl (0.189, 0.722, 0.578)
Cl (0.278, 0.422, 0.811)
Cl (0.339, 0.115, 0.030)
Cl (0.422, 0.811, 0.278)
Cl (0.578, 0.189, 0.722)
Cl (0.661, 0.885, 0.970)
Cl (0.722, 0.578, 0.189)
Cl (0.811, 0.278, 0.422)
Cl (0.885, 0.970, 0.661)
Cl (0.970, 0.661, 0.885)